{
  "formula": "ZnFe2Sb",
  "functional": "PBE",
  "state": "optimized geometry",
  "e_above_lowest_polymorph_mev_per_atom": 171.4,
  "raw_formation_energy_ev_per_fu": 1.32,
  "lattice": [[0.000, 3.103, 3.103], [3.103, 0.000, 3.103], [3.103, 3.103, 0.000]],
  "species": ["Zn", "Fe", "Fe", "Sb"],
  "frac_coords": [[0.000, 0.000, 0.000], [0.500, 0.500, 0.500], [0.750, 0.750, 0.750], [0.250, 0.250, 0.250]]
}

{
  "formula": "Ac2ReO8",
  "functional": "PBE",
  "state": "optimized geometry",
  "e_above_lowest_polymorph_mev_per_atom": 181.5,
  "raw_formation_energy_ev_per_fu": -20.34,
  "lattice": [[8.319, -2.073, 0.000], [8.319, 2.073, 0.000], [-1.399, 0.000, 4.620]],
  "species": ["Ac", "Ac", "Re", "O", "O", "O", "O", "O", "O", "O", "O"],
  "frac_coords": [[0.175, 0.175, 0.175], [0.825, 0.825, 0.825], [0.500, 0.500, 0.500], [0.000, 0.000, 0.345], [0.000, 0.000, 0.655], [0.235, 0.235, 0.734], [0.411, 0.411, 0.159], [0.412, 0.412, 0.666], [0.588, 0.588, 0.334], [0.589, 0.589, 0.841], [0.765, 0.765, 0.266]]
}

{
  "formula": "K2AlPt",
  "functional": "PBE",
  "state": "optimized geometry",
  "formation_enthalpy_0k_ev_per_atom": 0.338,
  "lattice": [[3.107, 0.000, 0.000], [0.000, 3.107, 0.000], [0.000, 0.000, 10.813]],
  "species": ["K", "K", "Al", "Pt"],
  "frac_coords": [[0.000, 0.000, 0.218], [0.000, 0.000, 0.782], [0.500, 0.500, 0.500], [0.500, 0.500, 0.000]]
}

{
  "formula": "ThHgPbN",
  "functional": "PBE",
  "state": "optimized geometry",
  "raw_formation_energy_ev_per_fu": -3.17,
  "lattice": [[4.305, 0.000, 0.000], [0.000, 4.305, 0.000], [0.000, 0.000, 10.829]],
  "species": ["Th", "Th", "Hg", "Hg", "Pb", "Pb", "N", "N"],
  "frac_coords": [[0.250, 0.250, 0.096], [0.750, 0.750, 0.904], [0.250, 0.250, 0.734], [0.750, 0.750, 0.266], [0.250, 0.750, 0.500], [0.750, 0.250, 0.500], [0.250, 0.750, 0.000], [0.750, 0.250, 0.000]]
}

{
  "formula": "TbHoRu2",
  "functional": "PBE",
  "state": "optimized geometry",
  "formation_enthalpy_0k_ev_per_atom": -0.323,
  "lattice": [[3.399, 0.000, 0.000], [0.000, 3.399, 0.000], [0.000, 0.000, 6.798]],
  "species": ["Tb", "Ho", "Ru", "Ru"],
  "frac_coords": [[0.000, 0.000, 0.000], [0.000, 0.000, 0.500], [0.500, 0.500, 0.252], [0.500, 0.500, 0.748]]
}

{
  "formula": "TlTcP2",
  "functional": "PBE",
  "state": "optimized geometry",
  "e_above_lowest_polymorph_mev_per_atom": 887.0,
  "formation_enthalpy_0k_ev_per_atom": 0.808,
  "lattice": [[4.570, 0.000, 0.000], [0.000, 4.570, 0.000], [0.000, 0.000, 3.272]],
  "species": ["Tl", "Tc", "P", "P"],
  "frac_coords": [[0.000, 0.000, 0.000], [0.500, 0.500, 0.000], [0.000, 0.500, 0.500], [0.500, 0.000, 0.500]]
}

no.,density of states at the Fermi level (states/eV per atom),calculated density (g/cm3),total magnetization (μB per cell)
1,0.45,8.31,4.47
2,0.59,8.01,0.97
3,0.53,4.78,0.00
4,0.37,10.82,0.00
5,1.30,11.12,0.00
6,0.90,8.85,1.27